Record 1
This record from Alexandria via LeMat-Bulk describes a PBEsol-optimized structure of SmTlZn. The functional is SCAN.

Results
formation energy from the elements	-0.506	eV/atom
calculated total energy	-131.8	eV/f.u.
DOS(E_F)	3.38	states/eV per cell
magnetization	0.0	μB/cell

Cell lengths 4.6518, 4.6518, 7.3623 Å; angles 90.00, 90.00, 120.00 degrees
With the nearest neighbours (Å) after each atom.
Fractional positions:
Tl 0.3333 0.6667 0.2500  3 Zn 2.69
Tl 0.6667 0.3333 0.7500  3 Zn 2.69
Zn 0.3333 0.6667 0.7500  3 Tl 2.69
Zn 0.6667 0.3333 0.2500  3 Tl 2.69
Sm 0.0000 0.0000 0.0000  6 Tl 3.26, 6 Zn 3.26
Sm 0.0000 0.0000 0.5000  6 Tl 3.26, 6 Zn 3.26

***

Record 2
This record from Alexandria via LeMat-Bulk describes a PBEsol-optimized structure of Cs2TlFeF6. The functional is SCAN.

Results
calculated total energy	-212.6	eV/f.u.
DOS(E_F)	10.99	states/eV per cell
magnetization	1.0	μB/cell

Cell lengths 6.3475, 6.3475, 6.3475 Å; angles 60.00, 60.00, 60.00 degrees
With the nearest neighbours (Å) after each atom.
Fractional positions:
Cs 0.2500 0.2500 0.2500  12 F 3.20
Cs 0.7500 0.7500 0.7500  12 F 3.20
Tl 0.5000 0.5000 0.5000  6 F 2.62
Fe 0.0000 0.0000 0.0000  6 F 1.87
F 0.7916 0.2084 0.7916  1 Fe 1.87
F 0.2084 0.7916 0.7916  1 Fe 1.87
F 0.7916 0.2084 0.2084  1 Fe 1.87
F 0.2084 0.2084 0.7916  1 Fe 1.87
F 0.7916 0.7916 0.2084  1 Fe 1.87
F 0.2084 0.7916 0.2084  1 Fe 1.87